(1)
Entry from Alexandria: crystalline NiIrPdRh at its relaxed geometry (GGA-PBE).

Energy relative to the elements: 0.03 eV/atom
Distance to the lowest polymorph of the same formula: 0.000 eV per atom

POSCAR file:
```
NiIrPdRh
1.0
2.7248 0.0000 0.0000
0.0000 2.7248 0.0000
0.0000 0.0000 7.4502
Ni Ir Pd Rh
1 1 1 1
Direct
0.0000 0.0000 0.0000 Ni
0.5000 0.5000 0.2304 Ir
0.5000 0.5000 0.7531 Pd
0.0000 0.0000 0.4801 Rh
```

***

(2)
Entry from Alexandria: crystalline NiIrPdRu2 at its relaxed geometry (GGA-PBE).

Energy relative to the elements: 2.11 eV/atom

POSCAR file:
```
NiIrPdRu2
1.0
4.6842 0.0000 0.0000
0.0000 4.6842 0.0000
0.0000 0.0000 4.3946
Ni Ir Pd Ru
1 1 1 2
Direct
0.0000 0.0000 0.0000 Ni
0.5000 0.5000 0.0000 Ir
0.0000 0.0000 0.5000 Pd
0.0000 0.5000 0.5000 Ru
0.5000 0.0000 0.5000 Ru
```

***

(3)
Entry from Alexandria: crystalline Ni2IrPdS6 at its relaxed geometry (GGA-PBE).

Formation energy (no corrections): -2.60 eV/f.u.

POSCAR file:
```
Ni2IrPdS6
1.0
5.5251 -5.2547 0.0000
5.5251 5.2547 0.0000
-1.4463 0.0000 5.9398
Ni Ir Pd S
4 2 2 12
Direct
0.1011 0.2665 0.3267 Ni
0.2665 0.1011 0.8267 Ni
0.7335 0.8989 0.1733 Ni
0.8989 0.7335 0.6733 Ni
0.4068 0.5932 0.7500 Ir
0.5932 0.4068 0.2500 Ir
0.2387 0.7613 0.2500 Pd
0.7613 0.2387 0.7500 Pd
0.0525 0.2378 0.6512 S
0.1280 0.6109 0.8554 S
0.2378 0.0525 0.1512 S
0.3057 0.4710 0.3680 S
0.3891 0.8720 0.6446 S
0.4710 0.3057 0.8680 S
0.5290 0.6943 0.1320 S
0.6109 0.1280 0.3554 S
0.6943 0.5290 0.6320 S
0.7622 0.9475 0.8488 S
0.8720 0.3891 0.1446 S
0.9475 0.7622 0.3488 S
```

***

(4)
Entry from Alexandria: crystalline NiSbIrPd at its relaxed geometry (GGA-PBE).

Formation energy (no corrections): -0.17 eV/f.u.

POSCAR file:
```
NiSbIrPd
1.0
0.0000 3.1355 3.1355
3.1355 0.0000 3.1355
3.1355 3.1355 0.0000
Ni Sb Ir Pd
1 1 1 1
Direct
0.0000 0.0000 0.0000 Ni
0.5000 0.5000 0.5000 Sb
0.2500 0.2500 0.2500 Ir
0.7500 0.7500 0.7500 Pd
```

***

(5)
Entry from Alexandria: crystalline ScNiIrPd at its relaxed geometry (GGA-PBE).

Energy relative to the elements: -0.40 eV/atom

POSCAR file:
```
ScNiIrPd
1.0
0.0000 3.1201 3.1201
3.1201 0.0000 3.1201
3.1201 3.1201 0.0000
Sc Ni Ir Pd
1 1 1 1
Direct
0.0000 0.0000 0.0000 Sc
0.5000 0.5000 0.5000 Ni
0.2500 0.2500 0.2500 Ir
0.7500 0.7500 0.7500 Pd
```

***

(6)
Entry from Alexandria: crystalline NiIrPd2Se8 at its relaxed geometry (GGA-PBE).

Formation energy (no corrections): 2.36 eV/f.u.

POSCAR file:
```
NiIrPd2Se8
1.0
-4.0271 4.0271 4.2310
4.0271 -4.0271 4.2310
4.0271 4.0271 -4.2310
Ni Ir Pd Se
1 1 2 8
Direct
0.0000 0.0000 0.0000 Ni
0.7500 0.2500 0.5000 Ir
0.2500 0.7500 0.5000 Pd
0.5000 0.5000 0.0000 Pd
0.0173 0.3408 0.3235 Se
0.0173 0.6939 0.6765 Se
0.0883 0.2658 0.8226 Se
0.3061 0.9827 0.3235 Se
0.4432 0.2658 0.1774 Se
0.6592 0.9827 0.6765 Se
0.7342 0.5568 0.8226 Se
0.7342 0.9117 0.1774 Se
```

***

no.,calculated volume (Å³/atom)
1,13.829
2,19.285
3,17.245
4,15.413
5,15.188
6,22.872